{"formula": "In2MoPbO8", "functional": "PBE with a Hubbard U", "state": "optimized geometry", "sg": "P2/m (10)", "density_g_cm3": 6.87, "dft_energy_ev_per_fu": -72.00, "total_magnetization_mub_per_cell": 0.00, "cell": [[4.8943, 0.0000, 0.0000], [0.0000, 6.6647, 0.0000], [-0.1826, 0.0000, 4.8975]], "species": ["In", "In", "Mo", "Pb", "O", "O", "O", "O", "O", "O", "O", "O"], "fractional_positions": [[0.0000, 0.2422, 0.0000], [0.0000, 0.7578, 0.0000], [0.5000, 0.0000, 0.5000], [0.5000, 0.5000, 0.5000], [0.1947, 0.5000, 0.1922], [0.2137, 0.0000, 0.2115], [0.3125, 0.2173, 0.6854], [0.3125, 0.7827, 0.6854], [0.6875, 0.2173, 0.3146], [0.6875, 0.7827, 0.3146], [0.7863, 0.0000, 0.7885], [0.8053, 0.5000, 0.8078]]}